MnNi2PtO8 after structural relaxation, computed with PBE+U.

Summary:
crystal system = monoclinic
raw total energy = -5.53 eV/atom

Unit cell a=4.707 b=4.394 c=6.023 alpha=90.00 beta=90.00 gamma=92.50
Element x y z (fractional)
O: 0.666 0.737 0.500
O: 0.668 0.724 0.000
O: 0.843 0.223 0.256
O: 0.157 0.777 0.256
O: 0.157 0.777 0.744
O: 0.334 0.263 0.500
O: 0.332 0.276 0.000
O: 0.843 0.223 0.744
Ni: 0.500 0.500 0.253
Ni: 0.500 0.500 0.747
Pt: 0.000 0.000 0.000
Mn: 0.000 0.000 0.500